A plane-wave DFT calculation with GGA-PBE was carried out for an optimized crystal structure of Pm7TlSi2.

Values from the calculation:
Magnetization = 1.469 μB per cell
Symmetry = I4/mmm
N(E_F) = 11.78 states/eV/cell
E = -4.944 eV per atom

Cell lengths 4.9916, 4.9916, 12.4605 Å; angles 101.55, 101.55, 90.00 degrees
Sites, in units of the cell vectors:
Pm: 0.1035 0.6035 0.2070
Pm: 0.3965 0.8965 0.7930
Pm: 0.6035 0.1035 0.2070
Pm: 0.5000 0.5000 0.0000
Pm: 0.7500 0.2500 0.5000
Pm: 0.8965 0.3965 0.7930
Pm: 0.2500 0.7500 0.5000
Tl: 0.0000 0.0000 0.0000
Si: 0.6769 0.6769 0.3538
Si: 0.3231 0.3231 0.6462

=====

A plane-wave DFT calculation with GGA-PBE was carried out for an optimized crystal structure of MgZn2W.

Values from the calculation:
Magnetization = 0.000 μB per cell
Symmetry = P4/mmm
Energy of formation from the pure elements = 0.22 eV per atom
N(E_F) = 1.31 states/eV/cell
E = -4.050 eV per atom

Cell lengths 3.7706, 4.0398, 4.0398 Å; angles 90.00, 90.00, 90.00 degrees
Sites, in units of the cell vectors:
Mg: 0.5000 0.5000 0.0000
W: 0.5000 0.0000 0.5000
Zn: 0.0000 0.0000 0.0000
Zn: 0.0000 0.5000 0.5000

=====

A plane-wave DFT calculation with GGA-PBE was carried out for an optimized crystal structure of SiHg.

Values from the calculation:
Magnetization = 0.000 μB per cell
Symmetry = P4/nmm
N(E_F) = 1.06 states/eV/cell
E = -2.603 eV per atom
Energy above the lowest structure with this stoichiometry = 0.114 eV per atom

Cell lengths 3.3947, 3.3947, 7.8480 Å; angles 90.00, 90.00, 90.00 degrees
Sites, in units of the cell vectors:
Hg: 0.0000 0.0000 0.9915
Hg: 0.5000 0.5000 0.2585
Si: 0.0000 0.0000 0.6600
Si: 0.5000 0.5000 0.5900

=====

A plane-wave DFT calculation with GGA-PBE was carried out for an optimized crystal structure of Tb5PmPr.

Values from the calculation:
Magnetization = 0.000 μB per cell
Symmetry = C2/c
Energy of formation from the pure elements = 0.18 eV per atom
N(E_F) = 18.70 states/eV/cell
E = -4.484 eV per atom
Energy above the lowest structure with this stoichiometry = 0.000 eV per atom

Cell lengths 6.8339, 6.8339, 13.8359 Å; angles 61.29, 61.29, 60.22 degrees
Sites, in units of the cell vectors:
Tb: 0.1663 0.3958 0.7490
Tb: 0.6490 0.6942 0.5007
Tb: 0.3958 0.1663 0.2490
Tb: 0.1616 0.8384 0.7500
Tb: 0.3058 0.3510 0.9993
Tb: 0.6942 0.6490 0.0007
Tb: 0.8384 0.1616 0.2500
Tb: 0.6042 0.8337 0.7510
Tb: 0.3510 0.3058 0.4993
Tb: 0.8337 0.6042 0.2510
Pm: 0.0000 0.0000 0.0000
Pm: 0.0000 0.0000 0.5000
Pr: 0.7224 0.2776 0.7500
Pr: 0.2776 0.7224 0.2500

=====

A plane-wave DFT calculation with GGA-PBE was carried out for an optimized crystal structure of PmTmMg4.

Values from the calculation:
Magnetization = 0.277 μB per cell
Symmetry = C2/m
Energy of formation from the pure elements = -0.04 eV per atom
N(E_F) = 6.73 states/eV/cell
E = -2.642 eV per atom
Energy above the lowest structure with this stoichiometry = 0.033 eV per atom

Cell lengths 3.4244, 7.1221, 8.6219 Å; angles 122.71, 78.55, 76.09 degrees
Sites, in units of the cell vectors:
Pm: 0.0000 0.0000 0.0000
Tm: 0.5000 0.5000 0.5000
Mg: 0.8434 0.4798 0.8333
Mg: 0.3321 0.9940 0.3418
Mg: 0.1566 0.5202 0.1667
Mg: 0.6679 0.0060 0.6582

=====

A plane-wave DFT calculation with GGA-PBE was carried out for an optimized crystal structure of LiLa2TlPd.

Values from the calculation:
Magnetization = 0.000 μB per cell
Symmetry = P4/mmm
Energy of formation from the pure elements = -0.32 eV per atom
N(E_F) = 3.67 states/eV/cell
E = -4.189 eV per atom

Cell lengths 5.6337, 5.6337, 4.7572 Å; angles 90.00, 90.00, 90.00 degrees
Sites, in units of the cell vectors:
Tl: 0.5000 0.5000 0.5000
Li: 0.0000 0.0000 0.5000
Pd: 0.0000 0.0000 0.0000
La: 0.0000 0.5000 0.0000
La: 0.5000 0.0000 0.0000

=====

A plane-wave DFT calculation with GGA-PBE was carried out for an optimized crystal structure of NbSnC.

Values from the calculation:
Magnetization = 0.000 μB per cell
Symmetry = Pmmn
Energy of formation from the pure elements = 0.15 eV per atom
N(E_F) = 2.84 states/eV/cell
E = -7.617 eV per atom

Cell lengths 3.3986, 4.3694, 8.0202 Å; angles 90.00, 90.00, 90.00 degrees
Sites, in units of the cell vectors:
Nb: 0.5000 0.0000 0.5714
Nb: 0.0000 0.5000 0.4286
C: 0.0000 0.0000 0.4204
C: 0.5000 0.5000 0.5796
Sn: 0.5000 0.5000 0.0994
Sn: 0.0000 0.0000 0.9006

=====

A plane-wave DFT calculation with GGA-PBE was carried out for an optimized crystal structure of CdSn3Pb7.

Values from the calculation:
Magnetization = 0.000 μB per cell
Symmetry = P3m1
Energy of formation from the pure elements = 0.07 eV per atom
N(E_F) = 6.69 states/eV/cell
E = -3.466 eV per atom

Cell lengths 8.0798, 7.0481, 7.0481 Å; angles 120.00, 90.00, 90.00 degrees
Sites, in units of the cell vectors:
Cd: 0.4363 0.3333 0.6667
Sn: 0.7763 0.4841 0.5159
Sn: 0.7763 0.4841 0.9681
Sn: 0.7763 0.0319 0.5159
Pb: 0.1113 0.1644 0.8356
Pb: 0.1113 0.1644 0.3287
Pb: 0.1013 0.6667 0.3333
Pb: 0.4716 0.8355 0.1645
Pb: 0.4716 0.3291 0.1645
Pb: 0.4716 0.8355 0.6709
Pb: 0.1113 0.6713 0.8356

=====

A plane-wave DFT calculation with GGA-PBE was carried out for an optimized crystal structure of SrInSi2Au.

Values from the calculation:
Magnetization = 0.000 μB per cell
Symmetry = P4/mmm
N(E_F) = 5.10 states/eV/cell
E = -2.190 eV per atom

Cell lengths 5.5544, 6.0867, 5.5544 Å; angles 90.00, 90.00, 90.00 degrees
Sites, in units of the cell vectors:
Sr: 0.0000 0.0000 0.0000
Si: 0.0000 0.0000 0.5000
Si: 0.5000 0.0000 0.0000
Au: 0.5000 0.5000 0.5000
In: 0.0000 0.5000 0.0000

=====

A plane-wave DFT calculation with GGA-PBE was carried out for an optimized crystal structure of Sm8Pt3Se4Cl.

Values from the calculation:
Magnetization = 0.000 μB per cell
Symmetry = R-3m
N(E_F) = 11.18 states/eV/cell
E = -5.982 eV per atom

Cell lengths 8.2223, 8.5465, 8.2231 Å; angles 118.75, 120.00, 90.00 degrees
Sites, in units of the cell vectors:
Sm: 0.2530 0.7424 0.9893
Sm: 0.2530 0.7426 0.5061
Sm: 0.2572 0.2715 0.5144
Sm: 0.7363 0.7424 0.9893
Sm: 0.2637 0.2576 0.0107
Sm: 0.7428 0.7285 0.4856
Sm: 0.7470 0.2574 0.4939
Sm: 0.7470 0.2576 0.0107
Pt: 0.5000 0.5000 0.0000
Pt: 0.5000 0.5000 0.5000
Pt: 0.0000 0.5000 0.5000
Se: 0.5000 0.0000 0.0000
Se: 0.5000 0.0000 0.5000
Se: 0.0000 0.0000 0.0000
Se: 0.0000 0.0000 0.5000
Cl: 0.0000 0.5000 0.0000

=====

A plane-wave DFT calculation with GGA-PBE was carried out for an optimized crystal structure of LaPm7Ir4.

Values from the calculation:
Magnetization = 0.300 μB per cell
Symmetry = C2/m
Energy of formation from the pure elements = -0.29 eV per atom
N(E_F) = 11.06 states/eV/cell
E = -6.430 eV per atom

Cell lengths 5.5261, 8.7871, 7.4965 Å; angles 77.64, 68.37, 71.67 degrees
Sites, in units of the cell vectors:
La: 0.0000 0.0000 0.0000
Pm: 0.7895 0.8703 0.5508
Pm: 0.2105 0.1297 0.4492
Pm: 0.0869 0.6215 0.2047
Pm: 0.9131 0.3785 0.7953
Pm: 0.3354 0.6132 0.7160
Pm: 0.5000 0.0000 0.0000
Pm: 0.6646 0.3868 0.2840
Ir: 0.5681 0.2148 0.6490
Ir: 0.4319 0.7852 0.3510
Ir: 0.6991 0.6748 0.9271
Ir: 0.3009 0.3252 0.0729

=====

A plane-wave DFT calculation with GGA-PBE was carried out for an optimized crystal structure of Al2TcPt.

Values from the calculation:
Magnetization = 0.000 μB per cell
Symmetry = C2/m
Energy of formation from the pure elements = -0.49 eV per atom
N(E_F) = 2.16 states/eV/cell
E = -6.464 eV per atom

Cell lengths 4.4538, 4.4538, 5.1220 Å; angles 80.05, 80.05, 36.28 degrees
Sites, in units of the cell vectors:
Tc: 0.7500 0.7500 0.7500
Pt: 0.2500 0.2500 0.2500
Al: 0.9980 0.9980 0.9986
Al: 0.5020 0.5020 0.5014